A geometry-optimized YAlV3 structure. Source: Alexandria, functional PBE.

DOS(E_F): 1.505 states/eV/atom
relative energy among the computed polymorphs: 0.989 eV per atom
total energy: -27.94 eV for the cell shown
space-group type: No. 221

```
5
Lattice="4.618 0.000 0.000 0.000 4.618 0.000 0.000 0.000 4.618" Properties=species:S:1:pos:R:3 pbc="T T T"
Y 0.000 0.000 0.000
Al 2.309 2.309 2.309
V 0.000 0.000 2.309
V 0.000 2.309 0.000
V 2.309 0.000 0.000
```

A geometry-optimized Y3AlV structure. Source: Alexandria, functional PBE.

DOS(E_F): 0.959 states/eV/atom
relative energy among the computed polymorphs: 0.000 eV per atom
total energy: -29.67 eV for the cell shown
space-group type: No. 221

```
5
Lattice="5.205 0.000 0.000 0.000 5.205 0.000 0.000 0.000 5.205" Properties=species:S:1:pos:R:3 pbc="T T T"
Y 0.000 0.000 2.602
Y 0.000 2.602 0.000
Y 2.602 0.000 0.000
Al 2.602 2.602 2.602
V 0.000 0.000 0.000
```

A geometry-optimized YAl2V2 structure. Source: Alexandria, functional PBE.

DOS(E_F): 1.169 states/eV/atom
relative energy among the computed polymorphs: 0.000 eV per atom
total energy: -32.72 eV for the cell shown
space-group type: No. 139

```
5
Lattice="-1.913 1.913 6.249 1.913 -1.913 6.249 1.913 1.913 -6.249" Properties=species:S:1:pos:R:3 pbc="T T T"
Y 0.000 0.000 0.000
Al 0.000 0.000 4.922
Al 0.000 0.000 7.575
V 1.913 0.000 3.124
V 0.000 1.913 3.124
```

What did the third record say?
A geometry-optimized YAl2V2 structure. Source: Alexandria, functional PBE.

DOS(E_F): 1.169 states/eV/atom
relative energy among the computed polymorphs: 0.000 eV per atom
total energy: -32.72 eV for the cell shown
space-group type: No. 139

```
5
Lattice="-1.913 1.913 6.249 1.913 -1.913 6.249 1.913 1.913 -6.249" Properties=species:S:1:pos:R:3 pbc="T T T"
Y 0.000 0.000 0.000
Al 0.000 0.000 4.922
Al 0.000 0.000 7.575
V 1.913 0.000 3.124
V 0.000 1.913 3.124
```

What did the first record say?
A geometry-optimized YAlV3 structure. Source: Alexandria, functional PBE.

DOS(E_F): 1.505 states/eV/atom
relative energy among the computed polymorphs: 0.989 eV per atom
total energy: -27.94 eV for the cell shown
space-group type: No. 221

```
5
Lattice="4.618 0.000 0.000 0.000 4.618 0.000 0.000 0.000 4.618" Properties=species:S:1:pos:R:3 pbc="T T T"
Y 0.000 0.000 0.000
Al 2.309 2.309 2.309
V 0.000 0.000 2.309
V 0.000 2.309 0.000
V 2.309 0.000 0.000
```